Crystalline LaPrNd2Er5 at its relaxed geometry. Source: Alexandria, functional PBE-GGA.

```
LaPrNd2Er5
1.0
8.739 0.000 0.000
0.000 8.739 0.000
-4.369 -4.369 7.808
La Pr Nd Er
2 2 4 10
Direct
0.250 0.750 0.500
0.750 0.250 0.500
0.250 0.250 0.500
0.750 0.750 0.500
0.118 0.382 0.000
0.618 0.118 0.000
0.382 0.882 0.000
0.882 0.618 0.000
0.928 0.428 0.271
0.656 0.156 0.729
0.072 0.572 0.729
0.156 0.072 0.729
0.572 0.656 0.729
0.844 0.928 0.271
0.428 0.344 0.271
0.344 0.844 0.271
0.500 0.500 0.000
0.000 0.000 0.000
```

Summary:
* symmetry: No. 140
* formation enthalpy at 0 K: 0.239 eV per atom

=====

Crystalline LaPr5Nd2Er at its relaxed geometry. Source: Alexandria, functional PBE-GGA.

```
LaPr5Nd2Er
1.0
9.047 0.000 0.000
0.000 9.047 0.000
-4.524 -4.524 7.933
La Pr Nd Er
2 10 4 2
Direct
0.250 0.250 0.500
0.750 0.750 0.500
0.929 0.429 0.276
0.653 0.153 0.724
0.071 0.571 0.724
0.153 0.071 0.724
0.571 0.653 0.724
0.847 0.929 0.276
0.429 0.347 0.276
0.347 0.847 0.276
0.500 0.500 0.000
0.000 0.000 0.000
0.116 0.384 0.000
0.616 0.116 0.000
0.384 0.884 0.000
0.884 0.616 0.000
0.250 0.750 0.500
0.750 0.250 0.500
```

Summary:
* symmetry: No. 140
* formation enthalpy at 0 K: 0.265 eV per atom

=====

Crystalline LaNdErPu at its relaxed geometry. Source: Alexandria, functional PBE-GGA.

```
LaNdErPu
1.0
-3.646 -3.016 3.177
0.566 -5.658 0.390
1.752 -2.358 4.884
Er Nd La Pu
1 1 1 1
Direct
0.000 0.000 0.000
0.750 0.750 0.750
0.250 0.250 0.250
0.500 0.500 0.500
```

Summary:
* symmetry: No. 216
* formation enthalpy at 0 K: 0.205 eV per atom

=====

Crystalline La2Nd3ErS6 at its relaxed geometry. Source: Alexandria, functional PBE-GGA.

```
La2Nd3ErS6
1.0
4.044 0.000 0.000
0.000 8.182 0.311
-2.022 -2.337 8.532
La Nd Er S
2 3 1 6
Direct
0.834 0.666 0.668
0.166 0.334 0.332
0.500 0.500 0.000
0.831 0.165 0.661
0.169 0.835 0.339
0.500 0.000 0.000
0.340 0.922 0.679
0.666 0.587 0.331
0.660 0.078 0.321
0.997 0.235 0.995
0.003 0.765 0.005
0.334 0.413 0.669
```

Summary:
* symmetry: No. 12

=====

Crystalline La4NdEr3S8 at its relaxed geometry. Source: Alexandria, functional PBE-GGA.

```
La4NdEr3S8
1.0
-8.001 -0.606 -0.152
0.352 -2.726 -7.645
4.198 -3.728 5.734
La Nd Er S
4 1 3 8
Direct
0.500 0.000 0.000
0.500 0.000 0.500
0.000 0.000 0.000
0.000 0.000 0.500
0.000 0.500 0.000
0.500 0.500 0.000
0.500 0.500 0.500
0.000 0.500 0.500
0.248 0.731 0.983
0.248 0.731 0.497
0.258 0.275 0.517
0.734 0.731 0.983
0.266 0.269 0.017
0.742 0.725 0.483
0.752 0.269 0.503
0.752 0.269 0.017
```

Summary:
* symmetry: No. 166

=====

Crystalline La3NdEr2S6 at its relaxed geometry. Source: Alexandria, functional PBE-GGA.

```
La3NdEr2S6
1.0
6.979 -0.007 -0.003
-3.494 6.041 -0.003
-1.165 -2.017 6.660
La Nd Er S
3 1 2 6
Direct
0.163 0.837 0.500
0.837 0.163 0.500
0.500 0.500 0.500
0.000 0.000 0.000
0.333 0.667 0.000
0.667 0.333 0.000
0.922 0.578 0.767
0.732 0.732 0.229
0.078 0.422 0.233
0.578 0.922 0.767
0.268 0.268 0.771
0.422 0.078 0.233
```

Summary:
* symmetry: No. 12

=====

Number 1: N(E_F) 9.1 states/eV/f.u., DFT total energy -79.81 eV/cell. Number 2: N(E_F) 14.5 states/eV/f.u., DFT total energy -81.08 eV/cell. Number 3: N(E_F) 13.9 states/eV/f.u., DFT total energy -27.77 eV/cell. Number 4: N(E_F) 5.8 states/eV/f.u., DFT total energy -78.16 eV/cell. Number 5: N(E_F) 8.3 states/eV/f.u., DFT total energy -104.30 eV/cell. Number 6: N(E_F) 5.8 states/eV/f.u., DFT total energy -78.38 eV/cell.